[1]
First-principles (PBE) data for a geometry-optimized Pa2Cd2O5 structure, as listed in the Open Quantum Materials Database.

Cell lengths 9.112, 4.257, 4.257 Å; angles 90.00, 90.00, 90.00 degrees
Fractional positions:
Pa (0.263, 0.500, 0.500)
Pa (0.737, 0.500, 0.500)
Cd (0.000, 0.000, 0.000)
Cd (0.500, 0.000, 0.000)
O (0.216, 0.000, 0.500)
O (0.216, 0.500, 0.000)
O (0.784, 0.500, 0.000)
O (0.784, 0.000, 0.500)
O (0.500, 0.500, 0.500)

Results
- SG: P4/mmm
- Energy relative to the lowest polymorph listed for this composition: 0 meV/atom

[2]
First-principles (PBE) data for a geometry-optimized HoPSe3S structure, as listed in the Open Quantum Materials Database.

Cell lengths 6.605, 6.787, 7.908 Å; angles 88.47, 86.93, 83.75 degrees
Fractional positions:
P (0.305, 0.258, 0.818)
S (0.906, 0.498, 0.226)
P (0.695, 0.742, 0.182)
Se (0.620, 0.727, 0.910)
Ho (0.201, 0.707, 0.055)
Se (0.885, 0.990, 0.222)
Se (0.421, 0.754, 0.350)
Se (0.380, 0.273, 0.090)
Se (0.579, 0.246, 0.650)
Ho (0.799, 0.293, 0.945)
Se (0.115, 0.010, 0.778)
S (0.094, 0.502, 0.774)

Results
- SG: P-1
- Energy relative to the lowest polymorph listed for this composition: 0 meV/atom

[3]
First-principles (PBE) data for a geometry-optimized RbNiPdSe3 structure, as listed in the Open Quantum Materials Database.

Cell lengths 8.376, 3.791, 9.887 Å; angles 90.00, 109.82, 90.00 degrees
Fractional positions:
Pd (0.591, 0.750, 0.589)
Se (0.966, 0.250, 0.117)
Se (0.220, 0.750, 0.399)
Rb (0.725, 0.750, 0.274)
Se (0.780, 0.250, 0.601)
Ni (0.843, 0.250, 0.857)
Se (0.343, 0.250, 0.134)
Se (0.657, 0.750, 0.866)
Se (0.034, 0.750, 0.883)
Ni (0.157, 0.750, 0.143)
Rb (0.275, 0.250, 0.726)
Pd (0.409, 0.250, 0.411)

Results
- SG: P2_1/m
- E: -4.113 eV/atom

[4]
First-principles (PBE) data for a geometry-optimized Pr5Tl4Ag structure, as listed in the Open Quantum Materials Database.

Cell lengths 3.747, 3.747, 21.094 Å; angles 90.00, 90.00, 90.00 degrees
Fractional positions:
Pr (0.500, 0.500, 0.908)
Ag (0.000, 0.000, 0.000)
Pr (0.500, 0.500, 0.092)
Pr (0.500, 0.500, 0.500)
Pr (0.500, 0.500, 0.295)
Tl (0.000, 0.000, 0.397)
Tl (0.000, 0.000, 0.191)
Pr (0.500, 0.500, 0.705)
Tl (0.000, 0.000, 0.809)
Tl (0.000, 0.000, 0.603)

Results
- SG: P4/mmm
- E: -3.983 eV/atom